! LiCdSb (PBE-GGA, relaxed); values from VASP
&SYSTEM
  ibrav = 0, nat = 9, ntyp = 3
/
ATOMIC_SPECIES
Li 6.94 Li.upf
Cd 112.41 Cd.upf
Sb 121.76 Sb.upf
CELL_PARAMETERS angstrom
7.4269 0.0000 0.0000
-3.7135 6.4319 0.0000
0.0000 0.0000 4.1584
ATOMIC_POSITIONS angstrom
Li -0.9350 1.6194 0.0000
Li 1.8700 0.0000 0.0000
Li 2.7785 4.8125 0.0000
Cd -2.2501 3.8973 2.0792
Cd 1.4633 2.5346 2.0792
Cd 4.5002 0.0000 2.0792
Sb 0.0000 0.0000 2.0792
Sb 0.0000 4.2879 0.0000
Sb 3.7135 2.1440 0.0000
! * uncorrected energy: -2.59 eV per atom
! * space group: P-62m (189)

! LiCdSb (PBE-GGA, relaxed); values from VASP
&SYSTEM
  ibrav = 0, nat = 9, ntyp = 3
/
ATOMIC_SPECIES
Li 6.94 Li.upf
Cd 112.41 Cd.upf
Sb 121.76 Sb.upf
CELL_PARAMETERS angstrom
7.7977 0.0000 0.0000
-3.8988 6.7530 0.0000
0.0000 0.0000 3.9773
ATOMIC_POSITIONS angstrom
Li -2.3810 4.1241 0.0000
Li 1.5178 2.6289 0.0000
Li 4.7621 0.0000 0.0000
Cd 0.0000 0.0000 0.0000
Cd 0.0000 4.5020 1.9887
Cd 3.8989 2.2510 1.9887
Sb -1.1125 1.9270 1.9887
Sb 2.2251 0.0000 1.9887
Sb 2.7863 4.8260 1.9887
! * uncorrected energy: -2.51 eV per atom
! * space group: P-62m (189)